# 1
# PBE Li4AcAs2, optimized geometry
data_Li4AcAs2
_space_group_name_H-M_alt 'P 42/m n m'
_space_group_IT_number 136
_space_group_name_Hall '-P 4n 2n'
_cell_length_a 8.0998
_cell_length_b 8.0998
_cell_length_c 4.2874
_cell_angle_alpha 90.00
_cell_angle_beta 90.00
_cell_angle_gamma 90.00
loop_
_atom_site_label
_atom_site_type_symbol
_atom_site_fract_x
_atom_site_fract_y
_atom_site_fract_z
Li1 Li 0.0931 0.3330 0.0000
Ac1 Ac 0.0000 0.0000 0.5000
As1 As 0.2156 0.7844 0.0000
# Formation energy from the elements: -812.4 meV/atom
# Total moment: 0.01 Bohr magnetons per cell
# E: -3.821 eV per atom

=====

# 2
# PBE Li2AcAs2, optimized geometry
data_Li2AcAs2
_space_group_name_H-M_alt 'P 63/m m c'
_space_group_IT_number 194
_space_group_name_Hall '-P 6c 2c'
_cell_length_a 4.5289
_cell_length_b 4.5289
_cell_length_c 14.0980
_cell_angle_alpha 90.00
_cell_angle_beta 90.00
_cell_angle_gamma 120.00
loop_
_atom_site_label
_atom_site_type_symbol
_atom_site_fract_x
_atom_site_fract_y
_atom_site_fract_z
Li1 Li 0.3333 0.6667 0.0653
Ac1 Ac 0.0000 0.0000 0.2500
As1 As 0.3333 0.6667 0.6249
# Excess energy over the best structure of this formula in the dataset: 133 meV per atom
# Formation energy from the elements: -836.5 meV/atom
# Total moment: 0.00 Bohr magnetons per cell
# E: -4.284 eV per atom

=====

# 3
# PBE LiAcAs4, optimized geometry
data_LiAcAs4
_space_group_name_H-M_alt 'F -4 3 m'
_space_group_IT_number 216
_space_group_name_Hall 'F -4 2 3'
_cell_length_a 8.2019
_cell_length_b 8.2019
_cell_length_c 8.2019
_cell_angle_alpha 90.00
_cell_angle_beta 90.00
_cell_angle_gamma 90.00
loop_
_atom_site_label
_atom_site_type_symbol
_atom_site_fract_x
_atom_site_fract_y
_atom_site_fract_z
Li1 Li 0.0000 0.0000 0.0000
Ac1 Ac 0.2500 0.2500 0.7500
As1 As 0.1281 0.1281 0.3719
# Formation energy from the elements: -368.6 meV/atom
# Total moment: 0.00 Bohr magnetons per cell
# E: -4.472 eV per atom

=====

# 4
# PBE LiAc3As3, optimized geometry
data_LiAc3As3
_space_group_name_H-M_alt 'C m c e'
_space_group_IT_number 64
_space_group_name_Hall '-C 2ac 2'
_cell_length_a 19.4230
_cell_length_b 6.5328
_cell_length_c 12.9265
_cell_angle_alpha 90.00
_cell_angle_beta 90.00
_cell_angle_gamma 90.00
loop_
_atom_site_label
_atom_site_type_symbol
_atom_site_fract_x
_atom_site_fract_y
_atom_site_fract_z
Li1 Li 0.0803 0.0000 0.0000
Ac1 Ac 0.0000 0.1996 0.3590
Ac2 Ac 0.1725 0.2216 0.6309
As1 As 0.0000 0.2200 0.1143
As2 As 0.1633 0.2283 0.8797
# Formation energy from the elements: -1253.3 meV/atom
# Total moment: 0.00 Bohr magnetons per cell
# E: -5.280 eV per atom

=====

# 5
# PBE LiAcAs2, optimized geometry
data_LiAcAs2
_space_group_name_H-M_alt 'R -3 m'
_space_group_IT_number 166
_space_group_name_Hall '-R 3 2"'
_cell_length_a 4.6243
_cell_length_b 4.6243
_cell_length_c 15.7551
_cell_angle_alpha 90.00
_cell_angle_beta 90.00
_cell_angle_gamma 120.00
loop_
_atom_site_label
_atom_site_type_symbol
_atom_site_fract_x
_atom_site_fract_y
_atom_site_fract_z
Li1 Li 0.0000 0.0000 0.0000
Ac1 Ac 0.0000 0.0000 0.5000
As1 As 0.0000 0.0000 0.2771
# Excess energy over the best structure of this formula in the dataset: 268 meV per atom
# Formation energy from the elements: -718.0 meV/atom
# Total moment: 0.00 Bohr magnetons per cell
# E: -4.548 eV per atom

=====

# 6
# PBE LiAc3As, optimized geometry
data_LiAc3As
_space_group_name_H-M_alt 'P m -3 m'
_space_group_IT_number 221
_space_group_name_Hall '-P 4 2 3'
_cell_length_a 6.0534
_cell_length_b 6.0534
_cell_length_c 6.0534
_cell_angle_alpha 90.00
_cell_angle_beta 90.00
_cell_angle_gamma 90.00
loop_
_atom_site_label
_atom_site_type_symbol
_atom_site_fract_x
_atom_site_fract_y
_atom_site_fract_z
Li1 Li 0.0000 0.0000 0.0000
Ac1 Ac 0.0000 0.5000 0.5000
As1 As 0.5000 0.5000 0.5000
# Formation energy from the elements: -249.5 meV/atom
# Total moment: 0.01 Bohr magnetons per cell
# E: -4.027 eV per atom

=====

# 7
# PBE LiAcAs2, optimized geometry
data_LiAcAs2
_space_group_name_H-M_alt 'P 4/m m m'
_space_group_IT_number 123
_space_group_name_Hall '-P 4 2'
_cell_length_a 3.8351
_cell_length_b 3.8351
_cell_length_c 6.3562
_cell_angle_alpha 90.00
_cell_angle_beta 90.00
_cell_angle_gamma 90.00
loop_
_atom_site_label
_atom_site_type_symbol
_atom_site_fract_x
_atom_site_fract_y
_atom_site_fract_z
Li1 Li 0.0000 0.0000 0.0000
Ac1 Ac 0.0000 0.0000 0.5000
As1 As 0.5000 0.5000 0.2014
# Excess energy over the best structure of this formula in the dataset: 307 meV per atom
# Formation energy from the elements: -678.5 meV/atom
# Total moment: 0.00 Bohr magnetons per cell
# E: -4.509 eV per atom

=====

# 8
# PBE Li2AcAs2, optimized geometry
data_Li2AcAs2
_space_group_name_H-M_alt 'P 4/n m m'
_space_group_IT_number 129
_cell_length_a 4.5023
_cell_length_b 4.5023
_cell_length_c 10.3004
_cell_angle_alpha 90.00
_cell_angle_beta 90.00
_cell_angle_gamma 90.00
loop_
_space_group_symop_operation_xyz
'x,y,z'
'-x,-y,-z'
'-y+1/2,x,z'
'y+1/2,-x,-z'
'-x+1/2,-y+1/2,z'
'x+1/2,y+1/2,-z'
'y,-x+1/2,z'
'-y,x+1/2,-z'
'x+1/2,-y,-z'
'-x+1/2,y,z'
'-y,-x,-z'
'y,x,z'
'-x,y+1/2,-z'
'x,-y+1/2,z'
'y+1/2,x+1/2,-z'
'-y+1/2,-x+1/2,z'
loop_
_atom_site_label
_atom_site_type_symbol
_atom_site_fract_x
_atom_site_fract_y
_atom_site_fract_z
Li1 Li 0.2500 0.2500 0.1146
Li2 Li 0.2500 0.7500 0.5000
Ac1 Ac 0.2500 0.2500 0.7623
As1 As 0.2500 0.2500 0.3574
As2 As 0.2500 0.7500 0.0000
# Excess energy over the best structure of this formula in the dataset: 0 meV per atom
# Formation energy from the elements: -970.0 meV/atom
# Total moment: 0.00 Bohr magnetons per cell
# E: -4.417 eV per atom

=====

Q: Which of these has the lowest E?
A: LiAc3As3

=====

Q: Among the records above, which one has the lowest formation energy from the elements?
A: LiAc3As3